This record from Alexandria via LeMat-Bulk describes an optimized crystal structure of Zr4Ge3H2. The functional is PBE.

As for the space-group type: C2/m (12).

Cell: 3.7697 6.2720 8.0204 Å, 123.98 90.00 107.49°
Last column: nearest neighbours and their distance in Å.
Sites, in units of the cell vectors:
1 Zr 0.6844 0.3687 0.0944  1 H 2.17
2 Zr 0.3156 0.6313 0.9056  1 H 2.17
3 Zr 0.9043 0.8085 0.6073  3 H 2.09-2.27
4 Zr 0.0957 0.1915 0.3927  3 H 2.09-2.27
5 Ge 0.6088 0.2176 0.6875  1 Ge 2.58, 5 Zr 2.77-2.85
6 Ge 0.0000 0.0000 0.0000  6 Zr 2.65
7 Ge 0.3912 0.7824 0.3125  1 Ge 2.58, 5 Zr 2.77-2.85
8 H 0.6926 0.3852 0.3716  4 Zr 2.09-2.27
9 H 0.3074 0.6148 0.6284  4 Zr 2.09-2.27


This record from Alexandria via LeMat-Bulk describes an optimized crystal structure of Se2SBrN. The functional is PBE.

The energy relative to the lowest polymorph listed for this composition is 0 kJ/mol of formula units. For the uncorrected formation energy, the calculation gives 1.075 eV per atom. As for the space-group type: P4/mmm (123).

Cell: 5.5147 5.5147 3.2738 Å, 90.00 90.00 90.00°
Last column: nearest neighbours and their distance in Å.
Sites, in units of the cell vectors:
1 S 0.0000 0.0000 0.0000  2 N 1.64
2 Se 0.0000 0.5000 0.0000  2 S 2.76
3 Se 0.5000 0.0000 0.0000  2 S 2.76
4 Br 0.5000 0.5000 0.5000  8 Se 3.21, 2 Br 3.27
5 N 0.0000 0.0000 0.5000  2 S 1.64


This record from Alexandria via LeMat-Bulk describes an optimized crystal structure of Y2Ho3Sb2. The functional is PBE.

For the uncorrected formation energy, the calculation gives -0.646 eV per atom. As for the space-group type: C2/m (12).

Cell: 4.2531 6.4020 8.4644 Å, 107.99 90.00 109.40°
Last column: nearest neighbours and their distance in Å.
Sites, in units of the cell vectors:
1 Y 0.8672 0.7344 0.2150  3 Sb 3.13-3.33
2 Y 0.1328 0.2656 0.7850  3 Sb 3.13-3.33
3 Ho 0.5000 0.0000 0.0000  4 Sb 3.06
4 Ho 0.6255 0.2510 0.4452  3 Sb 3.19-3.22, 4 Ho 3.45-3.57, 2 Y 3.56
5 Ho 0.3745 0.7490 0.5548  3 Sb 3.19-3.22, 4 Ho 3.45-3.57, 2 Y 3.56
6 Sb 0.8268 0.6536 0.8059  5 Ho 3.06-3.22, 3 Y 3.13-3.33
7 Sb 0.1732 0.3464 0.1941  5 Ho 3.06-3.22, 3 Y 3.13-3.33


This record from Alexandria via LeMat-Bulk describes an optimized crystal structure of Tb4Ni2Ru. The functional is PBE.

As for the space-group type: C2/m (12). For the formation enthalpy at 0 K, the calculation gives -208 kJ/mol of formula units.

Cell: 4.3223 5.8275 7.0875 Å, 80.76 72.25 68.23°
Last column: nearest neighbours and their distance in Å.
Sites, in units of the cell vectors:
1 Tb 0.0838 0.2083 0.6242  1 Ru 2.72, 2 Ni 2.93
2 Tb 0.9162 0.7917 0.3758  1 Ru 2.72, 2 Ni 2.93
3 Tb 0.3125 0.2889 0.0860  2 Ru 2.75, 2 Ni 2.86
4 Tb 0.6875 0.7111 0.9140  2 Ru 2.75, 2 Ni 2.86
5 Ni 0.3611 0.6313 0.6465  1 Ni 2.50
6 Ni 0.6389 0.3687 0.3535  1 Ni 2.50
7 Ru 0.0000 0.0000 0.0000  6 Tb 2.72-2.75


This record from Alexandria via LeMat-Bulk describes an optimized crystal structure of KLiAg3. The functional is PBE.

The energy relative to the lowest polymorph listed for this composition is 0 kJ/mol of formula units. As for the space-group type: Pm-3m (221). For the formation enthalpy at 0 K, the calculation gives 88 kJ/mol of formula units.

Cell: 4.9695 4.9695 4.9695 Å, 90.00 90.00 90.00°
Last column: nearest neighbours and their distance in Å.
Sites, in units of the cell vectors:
1 K 0.5000 0.5000 0.5000  12 Ag 3.51
2 Ag 0.0000 0.5000 0.0000  2 Li 2.48
3 Ag 0.0000 0.0000 0.5000  2 Li 2.48
4 Ag 0.5000 0.0000 0.0000  2 Li 2.48
5 Li 0.0000 0.0000 0.0000  6 Ag 2.48


This record from Alexandria via LeMat-Bulk describes an optimized crystal structure of K2CuW. The functional is PBE.

The energy relative to the lowest polymorph listed for this composition is 185 kJ/mol of formula units. As for the space-group type: P2/m (10). For the formation enthalpy at 0 K, the calculation gives 555 kJ/mol of formula units.

Cell: 5.8905 2.7208 7.4094 Å, 48.52 90.00 90.00°
Last column: nearest neighbours and their distance in Å.
Sites, in units of the cell vectors:
1 Cu 0.5000 0.7500 0.7500  2 Cu 2.72, 2 W 2.98
2 K 0.0000 0.0849 0.9937  4 K 2.72-2.97
3 K 0.0000 0.4151 0.5063  4 K 2.72-2.97
4 W 0.5000 0.2500 0.2500  2 W 2.72, 2 Cu 2.98


Energy for the records above, in order: -6.767 -3.143 -5.633 -5.931 -2.130 -3.373 eV per atom